LaTaZn (meta-GGA SCAN, single point on PBEsol structure); density of states at the Fermi level = 1.5013 states/eV per atom; spin magnetization = 0.00 μB/f.u.; energy of formation from the pure elements = 739 meV/atom; excess energy over the best structure of this formula in the dataset = 0.0000 eV/atom
1.0
4.653 0.000 0.000
2.327 4.030 0.000
2.327 1.343 3.799
La Ta Zn
1 1 1
Direct
0.000 0.000 0.000
0.500 0.500 0.500
0.750 0.750 0.750